Below is a relaxed structure of MgBRh3, with properties calculated at the PBE-GGA level.

Properties
Energy relative to the elements: -0.186 eV per atom
Crystal system: trigonal
SG: R-3 (148)
Energy above the most stable polymorph in this dataset: 0.223 eV per atom
E: -0.2297 hartree per atom

Cell lengths 7.6078, 7.6078, 7.6078 Å; angles 37.35, 37.35, 37.35 degrees
With the nearest neighbours (Å) after each atom.
Atoms (fractional coordinates):
Mg (0.1688, 0.1688, 0.1688)  6 Rh 2.71-2.76, 3 Mg 2.81
Mg (0.8312, 0.8312, 0.8312)  6 Rh 2.71-2.76, 3 Mg 2.81
B (0.3331, 0.3331, 0.3331)  6 Rh 2.10-2.12
B (0.6669, 0.6669, 0.6669)  6 Rh 2.10-2.12
Rh (0.0606, 0.3892, 0.7373)  2 B 2.10-2.12
Rh (0.2627, 0.9394, 0.6108)  2 B 2.10-2.12
Rh (0.3892, 0.7373, 0.0606)  2 B 2.10-2.12
Rh (0.6108, 0.2627, 0.9394)  2 B 2.10-2.12
Rh (0.7373, 0.0606, 0.3892)  2 B 2.10-2.12
Rh (0.9394, 0.6108, 0.2627)  2 B 2.10-2.12